Entry from OQMD: ZrGeOs2 after structural relaxation (GGA-PBE).

POSCAR file:
```
ZrGeOs2
1.0
-1.011 1.004 4.293
-4.030 -1.148 1.702
-0.297 -3.296 3.084
Ge Os Zr
1 2 1
direct
0.500 0.500 0.500 Ge
0.000 0.000 0.000 Os
0.750 0.750 0.750 Os
0.250 0.250 0.250 Zr
```

Computed properties:
Total magnetic moment, μB/cell: 0.14
Crystal system: cubic
Symmetry: F-43m, No. 216

***

Entry from OQMD: YTePbAuSe2 after structural relaxation (GGA-PBE).

POSCAR file:
```
YTePbAuSe2
1.0
-6.813 1.851 2.257
4.756 -0.647 -5.648
-3.405 -10.504 -1.663
Au Pb Se Te Y
2 2 4 2 2
direct
0.033 0.967 0.250 Au
0.967 0.033 0.750 Au
0.711 0.289 0.250 Pb
0.289 0.711 0.750 Pb
0.138 0.862 0.054 Se
0.138 0.862 0.446 Se
0.862 0.138 0.554 Se
0.862 0.138 0.946 Se
0.399 0.601 0.250 Te
0.601 0.399 0.750 Te
0.500 0.500 0.000 Y
0.500 0.500 0.500 Y
```

Computed properties:
Total magnetic moment, μB/cell: 0.00
Crystal system: orthorhombic
Symmetry: Cmcm, No. 63

***

Entry from OQMD: HgAu2I2Br2 after structural relaxation (GGA-PBE).

POSCAR file:
```
HgAu2I2Br2
1.0
-1.194 -3.465 -4.709
5.137 -2.968 0.881
-3.142 -4.254 3.991
Au Br Hg I
2 2 1 2
direct
0.000 0.677 0.500 Au
0.500 0.938 0.500 Au
0.262 0.233 0.263 Br
0.738 0.233 0.737 Br
0.000 0.035 0.000 Hg
0.718 0.692 0.202 I
0.282 0.692 0.798 I
```

Computed properties:
Crystal system: monoclinic
Symmetry: P2, No. 3
Energy above the lowest structure with this stoichiometry, meV per atom: 3

***

Entry from OQMD: TmSbN2O after structural relaxation (GGA-PBE).

POSCAR file:
```
TmSbN2O
1.0
8.073 0.000 0.000
0.000 5.418 0.000
0.000 0.000 5.645
N O Sb Tm
8 4 4 4
direct
0.184 0.556 0.174 N
0.816 0.556 0.174 N
0.316 0.056 0.278 N
0.684 0.056 0.278 N
0.184 0.444 0.674 N
0.816 0.444 0.674 N
0.316 0.944 0.778 N
0.684 0.944 0.778 N
0.000 0.121 0.023 O
0.500 0.621 0.429 O
0.000 0.879 0.523 O
0.500 0.379 0.929 O
0.250 0.750 0.476 Sb
0.750 0.750 0.476 Sb
0.250 0.250 0.976 Sb
0.750 0.250 0.976 Sb
0.500 0.778 0.041 Tm
0.000 0.278 0.411 Tm
0.500 0.222 0.541 Tm
0.000 0.722 0.911 Tm
```

Computed properties:
Total magnetic moment, μB/cell: 0.00
Crystal system: orthorhombic
Symmetry: Pnma, No. 62

***

Entry from OQMD: Hf2HgOs after structural relaxation (GGA-PBE).

POSCAR file:
```
Hf2HgOs
1.0
1.337 -4.392 1.027
1.398 -1.074 4.362
-2.706 -2.703 2.739
Hf Hg Os
2 1 1
direct
0.000 0.000 0.000 Hf
0.750 0.750 0.750 Hf
0.250 0.250 0.250 Hg
0.500 0.500 0.500 Os
```

Computed properties:
Total magnetic moment, μB/cell: 0.01
Crystal system: cubic
Symmetry: F-43m, No. 216
E_form, eV per atom: 0.08

***

Entry from OQMD: AgSnO3 after structural relaxation (GGA-PBE).

POSCAR file:
```
AgSnO3
1.0
4.182 0.000 0.000
0.000 4.182 0.000
0.000 0.000 3.987
Ag O Sn
1 3 1
direct
0.000 0.000 0.849 Ag
0.500 0.500 0.112 O
0.500 0.000 0.670 O
0.000 0.500 0.670 O
0.500 0.500 0.599 Sn
```

Computed properties:
Crystal system: tetragonal
Symmetry: P4mm, No. 99

***

| no. | E_tot (eV per atom) |
| --- | --- |
| 1 | -8.678 |
| 2 | -4.791 |
| 3 | -2.028 |
| 4 | -7.049 |
| 5 | -7.782 |
| 6 | -5.047 |